DFT (PBE) results for an optimized crystal structure of NaLa3Ru.

Summary:
The calculation puts the total energy at -5.11 eV per atom. Its space group is R-3.

a = 8.090 Å, b = 8.090 Å, c = 8.090 Å
α = 56.97°, β = 56.97°, γ = 56.97°
Atoms (fractional coordinates):
Na (0.082, 0.082, 0.082)
Na (0.918, 0.918, 0.918)
La (0.084, 0.626, 0.551)
La (0.374, 0.449, 0.916)
La (0.449, 0.916, 0.374)
La (0.551, 0.084, 0.626)
La (0.626, 0.551, 0.084)
La (0.916, 0.374, 0.449)
Ru (0.327, 0.327, 0.327)
Ru (0.673, 0.673, 0.673)

---

DFT (PBE) results for an optimized crystal structure of NaLa3Ru.

Summary:
The calculation puts the total energy at -4.40 eV per atom. Its space group is I-4m2.

a = 13.469 Å, b = 13.469 Å, c = 13.469 Å
α = 155.33°, β = 155.33°, γ = 35.17°
Atoms (fractional coordinates):
Na (0.000, 0.000, 0.000)
Na (0.750, 0.250, 0.500)
La (0.288, 0.288, 0.000)
La (0.375, 0.136, 0.238)
La (0.712, 0.712, 0.000)
La (0.864, 0.102, 0.238)
La (0.864, 0.625, 0.762)
La (0.898, 0.136, 0.762)
Ru (0.202, 0.702, 0.500)
Ru (0.298, 0.798, 0.500)

---

DFT (PBE) results for an optimized crystal structure of NaLa3Ru.

Summary:
The calculation puts the total energy at -5.18 eV per atom. Its space group is C2/m.

a = 7.034 Å, b = 7.034 Å, c = 10.441 Å
α = 112.08°, β = 112.08°, γ = 48.66°
Atoms (fractional coordinates):
Na (0.110, 0.110, 0.438)
Na (0.890, 0.890, 0.562)
La (0.130, 0.130, 0.934)
La (0.364, 0.364, 0.321)
La (0.387, 0.387, 0.799)
La (0.613, 0.613, 0.201)
La (0.636, 0.636, 0.679)
La (0.870, 0.870, 0.066)
Ru (0.383, 0.383, 0.085)
Ru (0.617, 0.617, 0.915)

---

no.,formation energy (eV/atom),offset from the most stable computed form (meV/atom)
1,-0.04,118
2,0.68,834
3,-0.11,50